AcTbPa | PBE | optimized geometry

Lattice parameters (Å, degrees): 3.5651 3.5651 8.8904 90.00 90.00 120.00
Last column: nearest neighbours and their distance in Å.
Atoms (fractional coordinates):
Ac  0.0000  0.0000  0.0000  3 Pa 3.55, 6 Ac 3.57, 3 Tb 3.88
Tb  0.3333  0.6667  0.6305  3 Pa 3.40, 6 Tb 3.57
Pa  0.6667  0.3333  0.3255  3 Tb 3.40, 3 Ac 3.55, 6 Pa 3.57

Magnetic moment (μB per atom): 0.00
Fermi-level density of states (states/eV per cell): 5.36
Formation enthalpy at 0 K (eV/atom): 0.272